A relaxed structure of TiGaTc3. Source: Alexandria, functional PBE.

Values from the calculation:
total energy: -7.107 eV per atom
crystal system: cubic
offset from the most stable computed form: 0.081 eV per atom

Cell and atoms, written as POSCAR:
```
TiGaTc3
1.0
4.531 0.000 0.000
0.000 4.531 0.000
0.000 0.000 4.531
Tc Ga Ti
3 1 1
direct
0.500 0.000 0.000
0.000 0.500 0.000
0.000 0.000 0.500
0.500 0.500 0.500
0.000 0.000 0.000
```